# 1
DFT (PBE-GGA) results for TiP2S6 after structural relaxation.

Output
E_tot	-5.4186	eV per atom
distance to the lowest polymorph of the same formula	0.0	meV per atom
energy relative to the elements, uncorrected	-0.59	eV/atom

Cell: 8.152 11.479 21.285 Å, 90.00 90.00 90.00°
Space group Fdd2 (No. 43)
Symmetry-distinct sites (fractional):
Ti 0.000 0.000 0.000
P 0.107 0.437 0.336
S 0.017 0.287 0.514
S 0.020 0.272 0.324
S 0.038 0.226 0.171


# 2
DFT (PBE-GGA) results for SrLiTc2 after structural relaxation.

Output
E_tot	-5.5069	eV per atom
distance to the lowest polymorph of the same formula	208.2	meV per atom
energy of formation	222	kJ/mol of formula units

Cell: 3.947 5.273 7.949 Å, 90.00 90.00 90.00°
Space group Imm2 (No. 44)
Symmetry-distinct sites (fractional):
Sr 0.000 0.000 0.000
Li 0.000 0.500 0.784
Tc 0.000 0.000 0.548
Tc 0.000 0.500 0.215


# 3
DFT (PBE-GGA) results for CePu3Sn2 after structural relaxation.

Output
E_tot	-9.7170	eV per atom
energy of formation	-132	kJ/mol of formula units

Cell: 9.249 12.587 5.381 Å, 90.00 90.30 90.00°
Space group C2/c (No. 15)
Symmetry-distinct sites (fractional):
Ce 0.000 0.223 0.250
Pu 0.000 0.431 0.250
Pu 0.195 0.067 0.747
Sn 0.159 0.335 0.752


# 4
DFT (PBE-GGA) results for Pm4Y3Er8 after structural relaxation.

Output
E_tot	-4.8631	eV per atom
energy of formation	188	kJ/mol of formula units

Cell: 6.9420 6.9420 35.3029 Å, 90.00 90.00 120.00°
Space group R-3m (No. 166, hexagonal axes)
Symmetry-distinct sites (fractional):
Pm 0.0000 0.0000 0.0000
Pm 0.0000 0.0000 0.1632
Pm 0.0000 0.0000 0.5000
Y 0.0000 0.5000 0.0000
Er 0.0000 0.0000 0.2547
Er 0.0017 0.5009 0.2508


# 5
DFT (PBE-GGA) results for Sm2InPb after structural relaxation.

Output
E_tot	-4.4597	eV per atom
energy of formation	-189	kJ/mol of formula units

Cell: 5.081 5.081 4.447 Å, 90.00 90.00 90.00°
Space group P4/mmm (No. 123)
Symmetry-distinct sites (fractional):
Sm 0.000 0.500 0.000
In 0.000 0.000 0.500
Pb 0.500 0.500 0.500


# 6
DFT (PBE-GGA) results for CaAg2SnCl6 after structural relaxation.

Output
E_tot	-3.4671	eV per atom
energy relative to the elements, uncorrected	-1.19	eV/atom

Cell: 12.594 12.710 7.408 Å, 90.00 100.59 90.00°
Space group C2/c (No. 15)
Symmetry-distinct sites (fractional):
Ca 0.000 0.085 0.250
Ag 0.157 0.406 0.311
Sn 0.000 0.264 0.750
Cl 0.117 0.073 0.607
Cl 0.118 0.240 0.119
Cl 0.126 0.414 0.645


# 7
DFT (PBE-GGA) results for Ni7Pd12Pt after structural relaxation.

Output
E_tot	-5.3520	eV per atom
energy of formation	172	kJ/mol of formula units

Cell: 11.2363 11.2363 7.8759 Å, 90.00 90.00 120.00°
Space group R-3 (No. 148, hexagonal axes)
Symmetry-distinct sites (fractional):
Ni 0.0000 0.0000 0.0000
Ni 0.0701 0.2497 0.4205
Pd 0.0464 0.1969 0.7424
Pd 0.0485 0.2502 0.0781
Pt 0.0000 0.0000 0.5000


# 8
DFT (PBE-GGA) results for Tm4BiPd15 after structural relaxation.

Output
E_tot	-5.7692	eV per atom
energy of formation	-1517	kJ/mol of formula units

Cell: 4.100 4.100 20.532 Å, 90.00 90.00 90.00°
Space group P4/mmm (No. 123)
Symmetry-distinct sites (fractional):
Tm 0.000 0.000 0.099
Tm 0.000 0.000 0.297
Bi 0.000 0.000 0.500
Pd 0.000 0.500 0.000
Pd 0.000 0.500 0.200
Pd 0.000 0.500 0.399
Pd 0.500 0.500 0.100
Pd 0.500 0.500 0.301
Pd 0.500 0.500 0.500


# 9
DFT (PBE-GGA) results for MgBi2Ir2 after structural relaxation.

Output
E_tot	-5.2619	eV per atom
energy of formation	74	kJ/mol of formula units

Cell: 7.334 7.334 3.957 Å, 90.00 90.00 90.00°
Space group P4/mbm (No. 127)
Symmetry-distinct sites (fractional):
Mg 0.000 0.000 0.000
Bi 0.166 0.334 0.500
Ir 0.138 0.638 0.000


# 10
DFT (PBE-GGA) results for MnHg2Se after structural relaxation.

Output
E_tot	-3.3762	eV per atom
energy relative to the elements, uncorrected	-0.06	eV/atom

Cell: 3.8087 3.8087 24.5836 Å, 90.00 90.00 120.00°
Space group R3m (No. 160, hexagonal axes)
Symmetry-distinct sites (fractional):
Mn 0.0000 0.0000 0.0000
Hg 0.0000 0.0000 0.2517
Hg 0.0000 0.0000 0.4905
Se 0.0000 0.0000 0.7134


# 11
DFT (PBE-GGA) results for LaPm2Pr after structural relaxation.

Output
E_tot	-4.7858	eV per atom
distance to the lowest polymorph of the same formula	21.4	meV per atom
energy of formation	6	kJ/mol of formula units

Cell: 3.695 3.695 10.429 Å, 90.00 90.00 90.00°
Space group P4/mmm (No. 123)
Symmetry-distinct sites (fractional):
La 0.000 0.000 0.000
Pm 0.500 0.500 0.251
Pr 0.000 0.000 0.500


# 12
DFT (PBE-GGA) results for Be2InF8 after structural relaxation.

Output
E_tot	-4.8381	eV per atom
energy relative to the elements, uncorrected	-2.55	eV/atom

Cell: 7.633 8.117 5.071 Å, 90.00 106.27 90.00°
Space group C2/m (No. 12)
Symmetry-distinct sites (fractional):
Be 0.250 0.000 0.189
In 0.000 0.000 0.500
F 0.035 0.500 0.704
F 0.154 0.147 0.299
F 0.210 0.000 0.873